Entry 1:
TaTi2In | the Alexandria database | PBE-GGA | optimized geometry; space group = P4/mmm; V = 72.36 Å³/cell; magnetization = 0.0 μB per cell; total DFT energy (no corrections) = -7.6383 eV/atom; crystal system = tetragonal; formation energy = -0.043 eV per atom
1.0
3.693 0.000 0.000
0.000 4.427 0.000
0.000 0.000 4.427
In Ta Ti
1 1 2
Cartesian
1.846 2.213 2.213
1.846 0.000 0.000
0.000 0.000 2.213
0.000 2.213 0.000

---

Entry 2:
Ta3Ti2In | the Alexandria database | PBE-GGA | optimized geometry; space group = P-1; V = 222.45 Å³/cell; magnetization = 1.7 μB per cell; total DFT energy (no corrections) = -8.9405 eV/atom; crystal system = triclinic; formation energy = 0.074 eV per atom
1.0
-3.130 3.601 0.531
-3.731 -6.491 0.398
4.452 2.978 6.012
Ti Ta In
4 6 2
Cartesian
1.616 0.596 5.477
1.873 4.018 5.463
-4.282 -3.931 1.478
-4.025 -0.509 1.463
-0.346 -0.899 4.084
-2.327 -2.433 2.818
1.257 0.741 2.372
-0.082 2.521 4.123
-3.667 -0.654 4.568
-2.064 0.987 2.857
-1.578 0.938 6.053
-0.831 -0.851 0.888

---

Entry 3:
TaTi5In4 | the Alexandria database | PBE-GGA | optimized geometry; space group = P4/mmm; V = 188.72 Å³/cell; magnetization = 0.1 μB per cell; total DFT energy (no corrections) = -6.3016 eV/atom; crystal system = tetragonal; formation energy = -0.074 eV per atom; energy relative to the lowest polymorph listed for this composition = 23.0 meV per atom
1.0
3.423 0.000 0.000
0.000 3.423 0.000
0.000 0.000 16.104
In Ti Ta
4 5 1
Cartesian
0.000 0.000 6.460
0.000 0.000 12.956
0.000 0.000 3.148
0.000 0.000 9.644
1.712 1.712 4.875
1.712 1.712 11.229
1.712 1.712 14.633
1.712 1.712 1.471
1.712 1.712 8.052
0.000 0.000 0.000

---

Entry 4:
Ta2Ti2In | the Alexandria database | PBE-GGA | optimized geometry; space group = I4/mmm; V = 184.19 Å³/cell; magnetization = 0.0 μB per cell; total DFT energy (no corrections) = -8.5532 eV/atom; crystal system = tetragonal; formation energy = -0.107 eV per atom; energy relative to the lowest polymorph listed for this composition = 0.0 meV per atom
1.0
4.553 0.000 -1.231
0.284 4.595 1.051
0.108 2.690 9.435
Ta In Ti
4 2 4
Cartesian
2.341 4.975 4.142
0.469 4.608 6.253
2.604 2.310 5.112
4.476 2.677 3.001
1.208 1.149 -0.045
3.628 3.446 -0.135
1.007 6.548 8.237
1.805 3.035 2.157
3.938 0.737 1.017
3.139 4.250 7.097